Here is CsZrCuSe4 after structural relaxation from Alexandria via LeMat-Bulk. Energies are from PBE.

raw total energy = -33.47 eV per formula unit
ΔE_f (raw) = -6.0 eV/f.u.

Geometry as extended XYZ:
```
14
Lattice="-4.8854 -3.4574 3.5210 -0.9893 -3.1928 -4.5077 8.6736 -5.0436 1.6688" Properties=species:S:1:pos:R:3 pbc="T T T"
Se -2.5286 -6.6529 1.8418
Se 4.2739 -6.6322 2.0130
Cu 0.8185 -5.1058 -1.8029
Se 0.6043 -4.8627 1.5650
Se -1.4750 -5.0616 -1.3309
Se 4.8521 -6.5753 -3.3261
Se 2.1946 -6.8311 -0.8829
Cs 3.7465 -9.8974 0.9483
Cu 1.9804 -6.5880 2.4850
Zr 3.2428 -4.5241 0.7462
Cs -0.9475 -1.7964 -0.2662
Se -2.0532 -5.1185 4.0082
Zr -0.4439 -7.1696 -0.0641
Se 5.3276 -5.0409 -1.1597
```



Here is Cs2ZrCuSe4 after structural relaxation from Alexandria via LeMat-Bulk. Energies are from PBE.

raw total energy = -35.14 eV per formula unit
ΔE_f (raw) = -6.8 eV/f.u.

Geometry as extended XYZ:
```
16
Lattice="-4.9244 -6.3629 -2.2505 5.8744 -0.9524 -5.8641 3.8970 -4.5990 4.7595" Properties=species:S:1:pos:R:3 pbc="T T T"
Se 4.3141 -5.7836 2.8919
Se 4.0055 -2.9657 -3.0934
Se 6.1375 -5.1733 -0.7751
Se 0.8415 -8.9486 -0.2616
Se 2.1826 -7.4715 -3.3250
Cs -2.4622 -3.1815 -1.1253
Cs 1.9485 -2.2995 2.3798
Se 2.6645 -4.4428 -0.0301
Zr 2.9372 -0.4763 -2.9321
Zr -0.0387 -9.1386 -2.8028
Cs 0.4750 -3.6577 -4.0573
Se -1.2905 -6.7411 -2.5800
Se 0.5329 -6.1307 -6.2470
Cu 2.4236 -5.9572 -1.6775
Cu -1.0273 -10.9619 2.5090
Cs -0.5137 -5.4809 1.2545
```



Here is CsZrCu2Se4 after structural relaxation from Alexandria via LeMat-Bulk. Energies are from PBE.

raw total energy = -37.11 eV per formula unit
ΔE_f (raw) = -5.6 eV/f.u.

Geometry as extended XYZ:
```
8
Lattice="-0.5443 -5.3935 2.9960 1.7645 -5.9146 -3.9250 6.1050 -2.3579 3.2666" Properties=species:S:1:pos:R:3 pbc="T T T"
Se 4.3671 -6.6388 -1.2892
Cs 0.0000 0.0000 0.0000
Zr 3.6626 -6.8330 1.1688
Cu 2.8816 -3.7759 0.1282
Cu 4.4436 -9.8902 2.2094
Se 5.5706 -7.9212 2.4921
Se 1.5050 -8.2180 1.2192
Se 3.2077 -4.5542 2.2531
```



Here is Cs2ZrCu2Se4 after structural relaxation from Alexandria via LeMat-Bulk. Energies are from PBE.

raw total energy = -41.09 eV per formula unit
ΔE_f (raw) = -8.7 eV/f.u.

Geometry as extended XYZ:
```
9
Lattice="-2.1347 2.7304 2.0957 -6.5811 -5.2585 0.1475 5.1471 -2.7952 4.9709" Properties=species:S:1:pos:R:3 pbc="T T T"
Se -6.1009 -2.8262 1.3814
Cs -2.5980 -3.3739 1.7493
Cs -0.9707 -1.9494 5.4648
Cu 2.5315 -1.0008 3.8824
Cu -6.1001 -4.3225 3.3317
Se 2.5322 -2.4971 5.8327
Se 0.5077 -1.3834 2.3195
Zr 0.0000 0.0000 0.0000
Se -4.0763 -3.9398 4.8946
```



Here is Cs2CuSi after structural relaxation from Alexandria via LeMat-Bulk. Energies are from PBE.

raw total energy = -10.48 eV per formula unit
ΔE_f (raw) = 0.8 eV/f.u.

Geometry as extended XYZ:
```
8
Lattice="6.8809 -6.8844 1.6568 -9.2661 3.4046 -0.1812 0.2097 -1.4161 -9.7692" Properties=species:S:1:pos:R:3 pbc="T T T"
Si 2.9490 -5.0202 -3.6873
Cu 0.0000 0.0000 0.0000
Cu -5.1245 0.1243 -4.6063
Cs -6.6753 1.6503 -1.8224
Cs -4.1701 -2.2716 -7.0213
Cs -7.4977 1.5331 -6.8125
Si -1.1926 -1.7399 0.7378
Cs -2.1551 -0.4145 -2.7690
```



Here is Cs3CuSi after structural relaxation from Alexandria via LeMat-Bulk. Energies are from PBE.

raw total energy = -9.11 eV per formula unit
distance to the lowest polymorph of the same formula = 0.0 meV/atom
ΔE_f (raw) = 3.0 eV/f.u.

Geometry as extended XYZ:
```
5
Lattice="-1.1386 5.8944 -3.3931 2.9101 -2.6873 -5.6448 -6.1473 -2.3639 -2.0437" Properties=species:S:1:pos:R:3 pbc="T T T"
Si 0.0000 0.0000 0.0000
Cu -2.1879 0.4216 -5.5408
Cs -0.5693 2.9472 -1.6966
Cs -3.0736 -1.1819 -1.0219
Cs 1.4550 -1.3437 -2.8224
```



Here is CsCu2Si after structural relaxation from Alexandria via LeMat-Bulk. Energies are from PBE.

raw total energy = -13.54 eV per formula unit
ΔE_f (raw) = 0.9 eV/f.u.

Geometry as extended XYZ:
```
8
Lattice="-2.2465 -3.5438 3.7968 4.6013 -3.2766 -0.3358 4.2508 0.3587 7.0668" Properties=species:S:1:pos:R:3 pbc="T T T"
Cs 0.0000 0.0000 0.0000
Cu 0.7954 -1.6488 3.1485
Cu 5.2215 -3.1078 6.5140
Si 1.1774 -3.4102 1.7305
Cu 3.0961 -3.2872 2.9806
Cs 1.5909 -3.2977 6.2971
Cu 4.0982 -4.8797 8.4124
Si 5.0148 -3.1641 4.2307
```



Here is Cs4Cu2Si after structural relaxation from Alexandria via LeMat-Bulk. Energies are from PBE.

raw total energy = -13.01 eV per formula unit
ΔE_f (raw) = 4.0 eV/f.u.

Geometry as extended XYZ:
```
7
Lattice="6.4393 0.0000 0.0000 0.0000 6.4393 0.0000 3.2197 3.2197 9.7564" Properties=species:S:1:pos:R:3 pbc="T T T"
Cu 3.2197 3.2197 2.5428
Cs 3.2197 0.0000 0.0000
Cs 6.4394 6.4394 3.6081
Cu 6.4393 6.4393 7.2135
Si 0.0000 0.0000 0.0000
Cs 0.0000 3.2197 0.0000
Cs 3.2197 3.2197 6.1483
```



Here is CsCuSi3 after structural relaxation from Alexandria via LeMat-Bulk. Energies are from PBE.

raw total energy = -8.46 eV per formula unit
distance to the lowest polymorph of the same formula = 1744.1 meV/atom
ΔE_f (raw) = 12.8 eV/f.u.

Geometry as extended XYZ:
```
5
Lattice="5.5678 0.0000 0.0000 0.0000 5.5678 0.0000 0.0000 0.0000 5.5678" Properties=species:S:1:pos:R:3 pbc="T T T"
Si 2.7839 0.0000 0.0000
Cs 0.0000 0.0000 0.0000
Si 0.0000 2.7839 0.0000
Cu 2.7839 2.7839 2.7839
Si 0.0000 0.0000 2.7839
```



Here is CsCuSi3 after structural relaxation from Alexandria via LeMat-Bulk. Energies are from PBE.

raw total energy = -17.18 eV per formula unit
distance to the lowest polymorph of the same formula = 0.0 meV/atom
ΔE_f (raw) = 4.0 eV/f.u.

Geometry as extended XYZ:
```
5
Lattice="4.8750 0.0000 0.0000 0.0000 4.8750 0.0000 0.0000 0.0000 4.8750" Properties=species:S:1:pos:R:3 pbc="T T T"
Cu 0.0000 0.0000 0.0000
Si 0.0000 0.0000 2.4375
Si 2.4375 0.0000 0.0000
Si 0.0000 2.4375 0.0000
Cs 2.4375 2.4375 2.4375
```



Here is Cs2SmCu2Te4 after structural relaxation from Alexandria via LeMat-Bulk. Energies are from PBE.

raw total energy = -34.80 eV per formula unit
ΔE_f (raw) = -7.6 eV/f.u.

Geometry as extended XYZ:
```
9
Lattice="4.3718 0.0000 0.0000 0.0000 9.1152 0.6347 -2.1859 -3.0205 7.5845" Properties=species:S:1:pos:R:3 pbc="T T T"
Te 2.1859 6.8951 0.8515
Te 0.0000 0.2374 3.1572
Sm 0.0000 0.0000 0.0000
Te 0.0000 -0.8004 7.3678
Te 2.1859 5.8573 5.0620
Cu 2.1859 7.8982 3.3109
Cs 0.0000 4.2239 2.3929
Cu 0.0000 -1.8035 4.9084
Cs 2.1859 1.8707 5.8264
```



Here is CsSmCuTe3 after structural relaxation from Alexandria via LeMat-Bulk. Energies are from PBE.

raw total energy = -24.69 eV per formula unit
ΔE_f (raw) = -5.6 eV/f.u.

Geometry as extended XYZ:
```
12
Lattice="4.3480 0.0000 0.0000 0.0000 10.6973 0.2146 0.0000 -4.8997 9.6882" Properties=species:S:1:pos:R:3 pbc="T T T"
Te 1.0870 1.5092 8.1242
Te 1.0870 6.3977 4.7335
Cu 3.2610 7.7926 4.0981
Cu 1.0870 -1.9950 5.8047
Cs 3.2610 4.6313 7.4937
Te 3.2610 4.2884 1.7787
Cs 1.0870 1.1663 2.4091
Sm 3.2610 -0.7553 8.3428
Sm 1.0870 6.5529 1.5600
Te 1.0870 -2.9800 8.2351
Te 3.2610 8.7776 1.6678
Te 3.2610 -0.6001 5.1694
```